[1]
# SrFePd3 (GGA-PBE, optimized geometry)
# DFT formation energy, eV per atom: 1.3689
# DFT total energy, eV per cell: -18.88
data_SrFePd3
_chemical_formula_sum 'Sr1 Fe1 Pd3'
_cell_length_a 5.104
_cell_length_b 5.104
_cell_length_c 5.104
_cell_angle_alpha 90.00
_cell_angle_beta 90.00
_cell_angle_gamma 90.00
_space_group_name_H-M_alt 'P m -3 m'
_space_group_IT_number 221
_space_group_name_Hall '-P 4 2 3'
loop_
_atom_site_label
_atom_site_fract_x
_atom_site_fract_y
_atom_site_fract_z
_atom_site_occupancy
Sr1 0.000 0.000 0.000 1
Fe1 0.500 0.500 0.500 1
Pd1 0.000 0.000 0.500 1

[2]
# SrFePd2 (GGA-PBE, optimized geometry)
# DFT formation energy, eV per atom: 0.1278
# DFT total energy, eV per cell: -80.08
data_SrFePd2
_chemical_formula_sum 'Sr4 Fe4 Pd8'
_cell_length_a 5.027
_cell_length_b 5.027
_cell_length_c 16.475
_cell_angle_alpha 90.00
_cell_angle_beta 90.00
_cell_angle_gamma 90.00
_space_group_name_H-M_alt 'I -4 2 d'
_space_group_IT_number 122
_space_group_name_Hall 'I -4 2bw'
loop_
_atom_site_label
_atom_site_fract_x
_atom_site_fract_y
_atom_site_fract_z
_atom_site_occupancy
Sr1 0.000 0.000 0.000 1
Fe1 0.000 0.000 0.500 1
Pd1 0.061 0.250 0.625 1

Please write out number 2 again, unchanged.
# SrFePd2 (GGA-PBE, optimized geometry)
# DFT formation energy, eV per atom: 0.1278
# DFT total energy, eV per cell: -80.08
data_SrFePd2
_chemical_formula_sum 'Sr4 Fe4 Pd8'
_cell_length_a 5.027
_cell_length_b 5.027
_cell_length_c 16.475
_cell_angle_alpha 90.00
_cell_angle_beta 90.00
_cell_angle_gamma 90.00
_space_group_name_H-M_alt 'I -4 2 d'
_space_group_IT_number 122
_space_group_name_Hall 'I -4 2bw'
loop_
_atom_site_label
_atom_site_fract_x
_atom_site_fract_y
_atom_site_fract_z
_atom_site_occupancy
Sr1 0.000 0.000 0.000 1
Fe1 0.000 0.000 0.500 1
Pd1 0.061 0.250 0.625 1